Arrangement w

The following is a DFT calculation (GGA-PBE) of a relaxed structure of InBi3I.

Values from the calculation:
The density of states at the Fermi level comes out at 1.311 states/eV/atom. Its volume is 199.0 Å³ per cell. As for the space group: Pm-3m, No. 221.

```
InBi3I
1.0
-4.8691 -0.3870 3.1989
3.1555 -1.7456 4.5920
0.6520 5.5582 1.6648
I In Bi
1 1 3
Cartesian
-0.5308 1.7128 4.7278 I
0.0000 0.0000 0.0000 In
1.5778 -0.8728 2.2960 Bi
0.3260 2.7791 0.8324 Bi
-2.4346 -0.1935 1.5994 Bi
```


Arrangement x

The following is a DFT calculation (GGA-PBE) of a relaxed structure of InBi3I.

Values from the calculation:
The density of states at the Fermi level comes out at 0.255 states/eV/atom. Its volume is 376.4 Å³ per cell. As for the space group: P2_1, No. 4.

```
InBi3I
1.0
-5.0840 1.4559 -4.5017
-2.2762 -7.8068 0.0462
-4.8650 -1.2519 5.0899
Bi In I
6 2 2
Cartesian
-10.6383 -2.9232 0.4119 Bi
-8.0144 -2.3571 -1.5466 Bi
-9.2638 -7.8506 2.6246 Bi
-6.2433 -7.3876 0.1830 Bi
-7.0286 0.3437 -0.4770 Bi
-3.7106 -2.6377 0.1682 Bi
-6.4372 -6.8215 3.3685 In
-5.1787 -3.6786 -2.3943 In
-3.0078 -7.0010 1.0122 I
-7.1142 -3.9268 1.2872 I
```


Energy relative to the most stable one, in meV per atom: arrangement w 619; arrangement x 0


Arrangement w

The following is a DFT calculation (GGA-PBE) of a relaxed structure of InBiI2N.

Values from the calculation:
The density of states at the Fermi level comes out at 0.720 states/eV/atom. Its volume is 177.2 Å³ per cell. As for the space group: P4/mmm, No. 123.

```
InBiI2N
1.0
6.3387 0.0000 0.0000
0.0000 6.3387 0.0000
0.0000 0.0000 4.4097
In N I Bi
1 1 2 1
Cartesian
3.1693 3.1693 2.2049 In
0.0000 0.0000 2.2049 N
0.0000 3.1693 0.0000 I
3.1693 0.0000 0.0000 I
0.0000 0.0000 0.0000 Bi
```


Arrangement x

The following is a DFT calculation (GGA-PBE) of a relaxed structure of InBiI2N.

Values from the calculation:
The density of states at the Fermi level comes out at 1.793 states/eV/atom. Its volume is 152.7 Å³ per cell. As for the space group: P4/mmm, No. 123.

```
InBiI2N
1.0
-4.5615 -3.4663 2.4025
0.2283 -3.7367 -4.9578
2.6829 -2.2628 1.8290
Bi I N In
1 2 1 1
Cartesian
-0.8251 -4.7329 -0.3631 Bi
-2.2807 -1.7332 1.2013 I
0.1142 -1.8683 -2.4789 I
1.3414 -1.1314 0.9145 N
0.0000 0.0000 0.0000 In
```


Energy relative to the most stable one, in meV per atom: arrangement w 0; arrangement x 217


Arrangement w

The following is a DFT calculation (GGA-PBE) of a relaxed structure of InBiI2O.

Values from the calculation:
The density of states at the Fermi level comes out at 0.037 states/eV/atom. Its volume is 161.0 Å³ per cell. As for the space group: P4/mmm, No. 123.

```
InBiI2O
1.0
-3.6044 -4.8271 -0.3404
3.3868 -2.8196 4.1217
-2.5331 1.6645 3.2201
I Bi In O
2 1 1 1
Cartesian
1.6934 -1.4098 2.0608 I
-1.8022 -2.4135 -0.1702 I
0.0000 0.0000 0.0000 Bi
-1.3754 -2.9911 3.5007 In
-1.2666 0.8322 1.6101 O
```


Arrangement x

The following is a DFT calculation (GGA-PBE) of a relaxed structure of InBiI2O.

Values from the calculation:
The density of states at the Fermi level comes out at 0.775 states/eV/atom. Its volume is 135.3 Å³ per cell. As for the space group: P4/mmm, No. 123.

```
InBiI2O
1.0
5.0423 0.0000 0.0000
0.0000 5.3199 0.0000
0.0000 0.0000 5.0423
I In O Bi
2 1 1 1
Cartesian
2.5211 0.0000 0.0000 I
0.0000 0.0000 2.5211 I
0.0000 2.6599 0.0000 In
0.0000 0.0000 0.0000 O
2.5211 2.6599 2.5211 Bi
```


Arrangement y

The following is a DFT calculation (GGA-PBE) of a relaxed structure of InBiI2O.

Values from the calculation:
The density of states at the Fermi level comes out at 0.801 states/eV/atom. Its volume is 156.3 Å³ per cell. As for the space group: P4/mmm, No. 123.

```
InBiI2O
1.0
6.2754 0.0000 0.0000
0.0000 6.2754 0.0000
0.0000 0.0000 3.9678
In I O Bi
1 2 1 1
Cartesian
0.0000 0.0000 0.0000 In
3.1377 0.0000 0.0000 I
0.0000 3.1377 0.0000 I
0.0000 0.0000 1.9839 O
3.1377 3.1377 1.9839 Bi
```


Energy relative to the most stable one, in meV per atom: arrangement w 0; arrangement x 605; arrangement y 164


Arrangement w

The following is a DFT calculation (GGA-PBE) of a relaxed structure of InBiSb2I.

Values from the calculation:
The density of states at the Fermi level comes out at 0.829 states/eV/atom. Its volume is 219.9 Å³ per cell. As for the space group: P4/mmm, No. 123.

```
InBiSb2I
1.0
-2.3896 -0.1097 -5.3575
4.7798 -2.6954 -2.0767
-2.6368 -5.6717 1.2922
Bi Sb In I
1 2 1 1
Cartesian
0.0000 0.0000 0.0000 Bi
-1.1948 -0.0548 -2.6787 Sb
2.3899 -1.3477 -1.0384 Sb
-0.1233 -4.2384 -3.0710 In
-1.3184 -2.8359 0.6461 I
```


Arrangement x

The following is a DFT calculation (GGA-PBE) of a relaxed structure of InBiSb2I.

Values from the calculation:
The density of states at the Fermi level comes out at 1.000 states/eV/atom. Its volume is 183.0 Å³ per cell. As for the space group: P4/mmm, No. 123.

```
InBiSb2I
1.0
-3.4263 3.7741 2.5479
-3.2405 0.2193 -4.6825
-3.1640 -4.2173 1.9921
Sb In I Bi
2 1 1 1
Cartesian
-1.6202 0.1096 -2.3412 Sb
-1.7131 1.8870 1.2739 Sb
0.0000 0.0000 0.0000 In
-1.5820 -2.1086 0.9961 I
-4.9154 -0.1120 -0.0713 Bi
```


Energy relative to the most stable one, in meV per atom: arrangement w 0; arrangement x 79